# AlAgPb2

A relaxed structure of AlAgPb2 (PBE, Alexandria).

Cell lengths 4.393, 4.248, 5.788 Å; angles 68.90, 90.00, 90.00 degrees
Element x y z (fractional)
Pb (0.000, 0.978, 0.919)
Pb (0.500, 0.272, 0.328)
Al (0.500, 0.553, 0.769)
Ag (0.000, 0.697, 0.484)

Properties
DOS(E_F): 0.566 states/eV per atom
energy of formation: 0.49 eV per formula unit
SG: No. 6